## Ga2BrNF (PBE-GGA)

Data for a relaxed Ga2BrNF crystal.

Structure (POSCAR):
```
Ga2BrNF
1.0
4.856 0.000 0.000
0.000 4.856 0.000
0.000 0.000 4.920
Ga Br N F
2 1 1 1
Direct
0.000 0.500 0.000
0.500 0.000 0.000
0.000 0.000 0.500
0.500 0.500 0.500
0.500 0.500 0.000
```

SG: P4/mmm, No. 123
Energy relative to the elements, uncorrected: 0.331 eV/atom